The following is a PBE calculation of a relaxed structure of RbScCl2, from Alexandria via LeMat-Bulk.

The value obtained for the total energy is -3.995 eV/atom. For the formation energy (no corrections), the calculation gives -1.25 eV per atom. For the total magnetization, the calculation gives 0.000 μB per atom.

It has space group R-3m (No. 166, hexagonal axes), with a = 3.8360 Å, b = 3.8360 Å, c = 29.4998 Å, α = 90.00°, β = 90.00° and γ = 120.00°. The asymmetric unit holds Rb at (0.0000, 0.0000, 0.0000), Sc at (0.0000, 0.0000, 0.5000) and Cl at (0.0000, 0.0000, 0.1163).

---

The following is a PBE calculation of a relaxed structure of Rb5Sc2Cl12, from Alexandria via LeMat-Bulk.

The value obtained for the total energy is -3.975 eV/atom. For the formation energy (no corrections), the calculation gives -1.89 eV per atom. For the total magnetization, the calculation gives 0.055 μB per atom.

It has space group C2/m (No. 12), with a = 18.0793 Å, b = 7.5222 Å, c = 10.7007 Å, α = 90.00°, β = 106.77° and γ = 90.00°. The asymmetric unit holds Rb at (0.0000, 0.0000, 0.0000), Rb at (0.1925, 0.5000, 0.8572), Rb at (0.1964, 0.5000, 0.3446), Sc at (0.0000, 0.2479, 0.5000), Cl at (0.0003, 0.0000, 0.3385), Cl at (0.0007, 0.5000, 0.3376), Cl at (0.1411, 0.2529, 0.5698) and Cl at (0.1520, 0.2537, 0.0841).

---

The following is a PBE calculation of a relaxed structure of RbScCl2, from Alexandria via LeMat-Bulk.

The value obtained for the total energy is -3.697 eV/atom. For the formation energy (no corrections), the calculation gives -0.95 eV per atom. For the total magnetization, the calculation gives 0.497 μB per atom.

It has space group Fm-3m (No. 225), with a = 7.4369 Å, b = 7.4369 Å, c = 7.4369 Å, α = 90.00°, β = 90.00° and γ = 90.00°. The asymmetric unit holds Rb at (0.0000, 0.0000, 0.0000), Sc at (0.0000, 0.0000, 0.5000) and Cl at (0.2500, 0.2500, 0.2500).

---

The following is a PBE calculation of a relaxed structure of Rb3Sc2Cl8, from Alexandria via LeMat-Bulk.

The value obtained for the total energy is -4.263 eV/atom. For the formation energy (no corrections), the calculation gives -1.93 eV per atom. For the total magnetization, the calculation gives 0.077 μB per atom.

It has space group C2/m (No. 12), with a = 13.1857 Å, b = 7.6095 Å, c = 10.1320 Å, α = 90.00°, β = 115.74° and γ = 90.00°. The asymmetric unit holds Rb at (0.0000, 0.0000, 0.0000), Rb at (0.2000, 0.0000, 0.5987), Sc at (0.0951, 0.5000, 0.7856), Cl at (0.0213, 0.2422, 0.3054), Cl at (0.1827, 0.5000, 0.0487) and Cl at (0.2369, 0.5000, 0.6952).

---

The following is a PBE calculation of a relaxed structure of RbSc2Cl, from Alexandria via LeMat-Bulk.

The value obtained for the total energy is -3.223 eV/atom. For the formation energy (no corrections), the calculation gives 0.65 eV per atom. For the total magnetization, the calculation gives 0.552 μB per atom.

It has space group Fm-3m (No. 225), with a = 7.9488 Å, b = 7.9488 Å, c = 7.9488 Å, α = 90.00°, β = 90.00° and γ = 90.00°. The asymmetric unit holds Rb at (0.0000, 0.0000, 0.0000), Sc at (0.2500, 0.2500, 0.2500) and Cl at (0.0000, 0.0000, 0.5000).

---

The following is a PBE calculation of a relaxed structure of Rb2ScSeCl, from Alexandria via LeMat-Bulk.

The value obtained for the total energy is -3.568 eV/atom. For the formation energy (no corrections), the calculation gives -0.85 eV per atom. For the total magnetization, the calculation gives 0.328 μB per atom.

It has space group P4/mmm (No. 123), with a = 6.7888 Å, b = 6.7888 Å, c = 5.1273 Å, α = 90.00°, β = 90.00° and γ = 90.00°. The asymmetric unit holds Rb at (0.0000, 0.5000, 0.0000), Sc at (0.0000, 0.0000, 0.5000), Se at (0.0000, 0.0000, 0.0000) and Cl at (0.5000, 0.5000, 0.5000).

---

The following is a PBE calculation of a relaxed structure of Rb2SrScCl6, from Alexandria via LeMat-Bulk.

The value obtained for the total energy is -4.146 eV/atom. For the formation energy (no corrections), the calculation gives -2.04 eV per atom. For the total magnetization, the calculation gives 0.100 μB per atom.

It has space group Fm-3m (No. 225), with a = 10.8591 Å, b = 10.8591 Å, c = 10.8591 Å, α = 90.00°, β = 90.00° and γ = 90.00°. The asymmetric unit holds Rb at (0.2500, 0.2500, 0.2500), Sr at (0.0000, 0.0000, 0.0000), Sc at (0.0000, 0.0000, 0.5000) and Cl at (0.0000, 0.0000, 0.2620).

---

The following is a PBE calculation of a relaxed structure of Rb2ScTcCl, from Alexandria via LeMat-Bulk.

The value obtained for the total energy is -3.181 eV/atom. For the formation energy (no corrections), the calculation gives 0.91 eV per atom. For the total magnetization, the calculation gives 0.599 μB per atom.

It has space group P4/mmm (No. 123), with a = 7.4045 Å, b = 7.4045 Å, c = 4.8485 Å, α = 90.00°, β = 90.00° and γ = 90.00°. The asymmetric unit holds Rb at (0.0000, 0.5000, 0.0000), Sc at (0.0000, 0.0000, 0.0000), Tc at (0.5000, 0.5000, 0.5000) and Cl at (0.0000, 0.0000, 0.5000).

---

The following is a PBE calculation of a relaxed structure of RbScTiCl6, from Alexandria via LeMat-Bulk.

The value obtained for the total energy is -4.777 eV/atom. For the formation energy (no corrections), the calculation gives -1.86 eV per atom. For the total magnetization, the calculation gives 0.222 μB per atom.

It has space group P-31c (No. 163), with a = 6.4646 Å, b = 6.4646 Å, c = 15.2058 Å, α = 90.00°, β = 90.00° and γ = 120.00°. The asymmetric unit holds Rb at (0.0000, 0.0000, 0.0000), Sc at (0.3333, 0.6667, 0.2500), Ti at (0.3333, 0.6667, 0.7500) and Cl at (0.0016, 0.3650, 0.6544).

---

The following is a PBE calculation of a relaxed structure of Rb2ScTlCl6, from Alexandria via LeMat-Bulk.

The value obtained for the total energy is -4.050 eV/atom. For the formation energy (no corrections), the calculation gives -1.88 eV per atom. For the total magnetization, the calculation gives 0.000 μB per atom.

It has space group P2_1/c (No. 14), with a = 7.5863 Å, b = 7.9736 Å, c = 13.2756 Å, α = 90.00°, β = 124.84° and γ = 90.00°. The asymmetric unit holds Rb at (0.2285, 0.0680, 0.2506), Sc at (0.5000, 0.0000, 0.0000), Tl at (0.0000, 0.0000, 0.5000), Cl at (0.1836, 0.1719, 0.9535), Cl at (0.2800, 0.7352, 0.9448) and Cl at (0.3798, 0.0316, 0.7813).

---

The following is a PBE calculation of a relaxed structure of RbScTlCl6, from Alexandria via LeMat-Bulk.

The value obtained for the total energy is -3.925 eV/atom. For the formation energy (no corrections), the calculation gives -1.62 eV per atom. For the total magnetization, the calculation gives 0.000 μB per atom.

It has space group P312 (No. 149), with a = 7.1200 Å, b = 7.1200 Å, c = 7.0476 Å, α = 90.00°, β = 90.00° and γ = 120.00°. The asymmetric unit holds Rb at (0.0000, 0.0000, 0.0000), Sc at (0.6667, 0.3333, 0.5000), Tl at (0.3333, 0.6667, 0.5000) and Cl at (0.3959, 0.0371, 0.7119).

---

The following is a PBE calculation of a relaxed structure of Rb2ScTlCl6, from Alexandria via LeMat-Bulk.

The value obtained for the total energy is -4.015 eV/atom. For the formation energy (no corrections), the calculation gives -1.84 eV per atom. For the total magnetization, the calculation gives 0.000 μB per atom.

It has space group Fm-3m (No. 225), with a = 11.1171 Å, b = 11.1171 Å, c = 11.1171 Å, α = 90.00°, β = 90.00° and γ = 90.00°. The asymmetric unit holds Rb at (0.2500, 0.2500, 0.2500), Sc at (0.0000, 0.0000, 0.0000), Tl at (0.0000, 0.0000, 0.5000) and Cl at (0.0000, 0.0000, 0.2247).